Record 1
Computed, not measured: a relaxed structure of Ti6HgSb at the GGA-PBE level of DFT.

```
8
Lattice="4.785 0.000 0.000 0.000 5.846 -0.182 0.000 -2.751 5.161" Properties=species:S:1:pos:R:3 pbc="T T T"
Ti 0.000 -0.689 2.118
Hg 2.392 0.831 2.935
Sb 0.000 -2.036 4.716
Ti 0.000 0.891 4.659
Ti 0.000 2.306 2.018
Ti 2.392 5.113 0.273
Ti 2.392 2.208 0.358
Ti 2.392 3.751 2.841
```

Formation energy without anion corrections: -210 meV/atom
Volume: 17.75 Å³/atom

---

Record 2
Computed, not measured: a relaxed structure of CaIrPb2 at the GGA-PBE level of DFT.

```
4
Lattice="6.045 0.074 0.033 2.717 5.401 -0.033 -4.015 -3.324 3.064" Properties=species:S:1:pos:R:3 pbc="T T T"
Ir 3.307 -0.193 1.548
Ca 4.691 2.931 0.000
Pb 8.397 5.246 0.000
Pb 1.497 2.379 1.515
```

Formation enthalpy at 0 K: 0.02 eV/atom
Volume: 24.79 Å³/atom

---

Record 3
Computed, not measured: a relaxed structure of BaCaCr at the GGA-PBE level of DFT.

```
3
Lattice="-1.000 2.201 -5.119 -5.320 0.987 -1.666 -1.876 5.320 -0.476" Properties=species:S:1:pos:R:3 pbc="T T T"
Cr -6.147 6.382 -5.446
Ba 0.000 0.000 0.000
Ca -4.098 4.254 -3.631
```

Energy above the most stable polymorph in this dataset: 327.7 meV per atom
Formation enthalpy at 0 K: 0.65 eV/atom
Volume: 42.77 Å³/atom

---

Record 4
Computed, not measured: a relaxed structure of Ge3BiTe6 at the GGA-PBE level of DFT.

```
20
Lattice="-1.981 -3.043 -2.251 10.603 -2.697 -5.686 -2.348 -6.593 10.981" Properties=species:S:1:pos:R:3 pbc="T T T"
Te 4.018 -8.916 6.492
Te 2.256 -3.417 -3.447
Te 7.464 -6.630 0.367
Te 5.499 -5.837 -3.030
Ge 4.642 -2.997 -2.061
Ge 1.631 -9.336 5.106
Te 1.325 -3.008 0.873
Te 8.214 -5.506 -5.868
Ge 4.626 -7.027 -0.652
Bi 8.457 -5.370 -2.211
Te 2.421 -8.073 2.703
Te 0.774 -6.496 6.074
Ge 1.647 -5.306 3.697
Bi -2.183 -6.963 5.255
Ge 6.359 -9.148 4.745
Te 3.853 -4.260 0.342
Te -1.940 -6.827 8.912
Ge -0.085 -3.185 -1.701
Te 4.949 -9.326 2.172
Te -1.191 -5.703 2.678
```

Formation energy without anion corrections: -27 meV/atom
Volume: 30.91 Å³/atom

---

Record 5
Computed, not measured: a relaxed structure of Na2In7Sn2 at the GGA-PBE level of DFT.

```
11
Lattice="5.609 -0.021 0.327 0.382 7.330 1.411 0.001 -0.117 7.474" Properties=species:S:1:pos:R:3 pbc="T T T"
Na 4.309 5.392 6.894
Na 1.683 1.801 2.318
In 0.000 0.000 0.000
Sn 3.103 5.699 2.895
In 1.522 3.949 4.947
In 1.482 4.303 7.994
In 4.470 3.243 4.265
Sn 2.888 1.494 6.318
In 4.379 0.333 3.299
In 1.613 6.860 5.913
In 4.510 2.889 1.218
```

Formation enthalpy at 0 K: -0.02 eV/atom
Volume: 28.02 Å³/atom

---

Record 6
Computed, not measured: a relaxed structure of Be4ZnRh5 at the GGA-PBE level of DFT.

```
10
Lattice="-2.701 0.045 0.777 -0.776 -0.394 -2.673 0.340 -14.308 2.009" Properties=species:S:1:pos:R:3 pbc="T T T"
Rh -1.568 -7.328 0.057
Be 0.137 -5.783 0.812
Be 0.073 -3.059 0.430
Rh -1.504 -10.059 0.440
Rh -1.698 -1.870 -0.710
Be 0.267 -11.249 1.579
Rh -1.439 -12.787 0.823
Rh -1.633 -4.598 -0.327
Be 0.202 -8.526 1.197
Zn 0.000 0.000 0.000
```

Formation enthalpy at 0 K: -0.55 eV/atom
Volume: 11.42 Å³/atom